No. 1
Compound: HoURh6
Source: Alexandria
Functional: PBE
Structure: relaxed

Output
- N(E_F): 9.13 states/eV/f.u.
- ΔH_f (0 K): -0.65 eV per atom
- Symmetry: P4/mmm (123)

Unit cell a=4.0342 b=4.0342 c=8.0309 alpha=90.00 beta=90.00 gamma=90.00
Closest atoms and distances in Å follow each position.
Positions (direct):
Ho  0.0000  0.0000  0.0000  12 Rh 2.85-2.91
U  0.0000  0.0000  0.5000  12 Rh 2.78-2.85
Rh  0.0000  0.5000  0.2611  8 Rh 2.78-2.91, 2 U 2.78, 2 Ho 2.91
Rh  0.0000  0.5000  0.7389  8 Rh 2.78-2.91, 2 U 2.78, 2 Ho 2.91
Rh  0.5000  0.0000  0.2611  8 Rh 2.78-2.91, 2 U 2.78, 2 Ho 2.91
Rh  0.5000  0.0000  0.7389  8 Rh 2.78-2.91, 2 U 2.78, 2 Ho 2.91
Rh  0.5000  0.5000  0.0000  4 Ho 2.85, 8 Rh 2.91
Rh  0.5000  0.5000  0.5000  8 Rh 2.78, 4 U 2.85

=====

No. 2
Compound: TlSiHg2
Source: Alexandria
Functional: PBE
Structure: relaxed

Output
- N(E_F): 2.25 states/eV/f.u.
- Symmetry: C2/m (12)
- Uncorrected formation energy: 0.39 eV per atom

Unit cell a=6.1379 b=6.1379 c=3.2427 alpha=103.62 beta=103.62 gamma=115.15
Closest atoms and distances in Å follow each position.
Positions (direct):
Tl  0.0000  0.0000  0.0000  4 Hg 3.12, 2 Tl 3.24, 4 Si 3.29-3.46
Si  0.5000  0.5000  0.0000  4 Hg 3.12, 2 Si 3.24, 4 Tl 3.29-3.46
Hg  0.0000  0.5000  0.5000  2 Tl 3.12, 2 Si 3.12, 6 Hg 3.24-3.46
Hg  0.5000  0.0000  0.5000  2 Tl 3.12, 2 Si 3.12, 6 Hg 3.24-3.46